Record 1
The following is a DFT calculation (PBE-GGA) of MgPb3C after structural relaxation.

```
5
Lattice="-3.992 1.462 -2.830 -2.390 -4.374 1.112 -2.106 2.194 4.103" Properties=species:S:1:pos:R:3 pbc="T T T"
Pb -1.996 0.731 -1.415
Pb -1.053 1.097 2.052
Pb -1.195 -2.187 0.556
Mg -4.244 -0.359 1.193
C 0.000 0.000 0.000
```

## Properties
- DFT total energy: -3.493 eV per atom

---

Record 2
The following is a DFT calculation (PBE-GGA) of Pr2MgPbC after structural relaxation.

```
5
Lattice="-0.056 4.471 -0.348 -3.363 -0.354 -4.005 -4.020 0.211 3.357" Properties=species:S:1:pos:R:3 pbc="T T T"
Pb -3.720 2.164 -0.498
Pr -1.682 -0.177 -2.003
Pr -2.010 0.105 1.679
C 0.000 0.000 0.000
Mg -0.028 2.235 -0.174
```

## Properties
- DFT total energy: -5.113 eV per atom

---

Record 3
The following is a DFT calculation (PBE-GGA) of MgRhPb2C after structural relaxation.

```
5
Lattice="-3.752 0.413 -3.194 -2.659 -0.716 3.031 -0.253 4.851 0.924" Properties=species:S:1:pos:R:3 pbc="T T T"
C 0.000 0.000 0.000
Pb -0.126 2.425 0.462
Pb -1.876 0.206 -1.597
Rh -3.332 2.274 0.380
Mg -1.329 -0.358 1.515
```

## Properties
- DFT total energy: -4.361 eV per atom

---

Record 4
The following is a DFT calculation (PBE-GGA) of Tm2MgPbC after structural relaxation.

```
5
Lattice="4.455 0.000 0.000 0.000 4.871 0.000 0.000 0.000 4.871" Properties=species:S:1:pos:R:3 pbc="T T T"
Tm 0.000 0.000 2.435
Tm 0.000 2.435 0.000
Pb 2.227 2.435 2.435
Mg 2.227 0.000 0.000
C 0.000 0.000 0.000
```

## Properties
- DFT total energy: -5.123 eV per atom

---

Record 5
The following is a DFT calculation (PBE-GGA) of MgVPbC2 after structural relaxation.

```
5
Lattice="-3.500 2.577 0.961 0.397 -1.389 5.170 2.731 3.442 0.715" Properties=species:S:1:pos:R:3 pbc="T T T"
C 1.365 1.721 0.358
C -1.750 1.289 0.480
Mg 0.198 -0.694 2.585
Pb 0.000 0.000 0.000
V -0.186 2.315 3.423
```

## Properties
- DFT total energy: -3.581 eV per atom

---

Record 6
The following is a DFT calculation (PBE-GGA) of YMg2PbC after structural relaxation.

```
5
Lattice="4.539 0.000 0.000 0.000 4.539 0.000 0.000 0.000 4.931" Properties=species:S:1:pos:R:3 pbc="T T T"
Pb 2.269 2.269 2.465
Mg 2.269 0.000 0.000
Mg 0.000 2.269 0.000
C 0.000 0.000 0.000
Y 0.000 0.000 2.465
```

## Properties
- DFT total energy: -4.675 eV per atom

---

no.,energy of formation from the pure elements (eV per atom)
1,0.895
2,-0.296
3,0.757
4,-0.429
5,2.993
6,-0.158